Run one
First-principles (PBE-GGA) data for a relaxed SnAsHOs crystal, as listed in Alexandria via LeMat-Bulk.

a b c (Å): 3.174 3.980 6.878
angles (deg): 93.82 103.31 113.36
Sites, in units of the cell vectors:
Sn1 0.000 0.000 0.000
As1 0.683 0.947 0.428
H1 0.838 0.959 0.718
Os1 0.870 0.491 0.254

Crystal system: triclinic

=====

Run two
First-principles (PBE-GGA) data for a relaxed SnAsHOs crystal, as listed in Alexandria via LeMat-Bulk.

a b c (Å): 4.162 4.162 5.026
angles (deg): 116.27 116.27 66.29
Sites, in units of the cell vectors:
Sn1 0.000 0.000 0.000
As1 0.469 0.469 0.400
H1 0.097 0.097 0.553
Os1 0.821 0.821 0.375

Crystal system: monoclinic

=====

Run three
First-principles (PBE-GGA) data for a relaxed SnAsHOs crystal, as listed in Alexandria via LeMat-Bulk.

a b c (Å): 4.275 4.275 6.011
angles (deg): 109.24 109.24 43.84
Sites, in units of the cell vectors:
Sn1 0.000 0.000 0.000
As1 0.230 0.230 0.530
H1 0.295 0.295 0.121
Os1 0.480 0.480 0.370

Crystal system: monoclinic

=====

Run four
First-principles (PBE-GGA) data for a relaxed SnAsHOs crystal, as listed in Alexandria via LeMat-Bulk.

a b c (Å): 4.570 4.570 6.364
angles (deg): 128.35 128.35 40.87
Sites, in units of the cell vectors:
Sn1 0.000 0.000 0.000
As1 0.990 0.990 0.412
H1 0.614 0.614 0.810
Os1 0.355 0.355 0.559

Crystal system: monoclinic

=====

Verdict on stability: run one comes out at the bottom.

=====

Run one
First-principles (PBE-GGA) data for a relaxed SnAsHOs crystal, as listed in Alexandria via LeMat-Bulk.

a b c (Å): 4.024 4.380 4.866
angles (deg): 66.54 65.73 62.86
Sites, in units of the cell vectors:
Sn1 0.000 0.000 0.000
As1 0.493 0.461 0.548
H1 0.685 0.587 0.038
Os1 0.775 0.795 0.653

Crystal system: triclinic

=====

Run two
First-principles (PBE-GGA) data for a relaxed SnAsHOs crystal, as listed in Alexandria via LeMat-Bulk.

a b c (Å): 4.636 4.636 5.775
angles (deg): 100.15 100.15 40.46
Sites, in units of the cell vectors:
Sn1 0.000 0.000 0.000
As1 0.086 0.086 0.499
H1 0.832 0.832 0.620
Os1 0.694 0.694 0.784

Crystal system: monoclinic

=====

Verdict on stability: run two comes out at the bottom.

=====

Run one
First-principles (PBE-GGA) data for a relaxed SnAsHOs crystal, as listed in Alexandria via LeMat-Bulk.

a b c (Å): 3.215 4.990 5.725
angles (deg): 64.26 73.78 71.26
Sites, in units of the cell vectors:
Sn1 0.000 0.000 0.000
As1 0.122 0.304 0.454
H1 0.789 0.634 0.783
Os1 0.692 0.503 0.112

Crystal system: triclinic

=====

Run two
First-principles (PBE-GGA) data for a relaxed SnAsHOs crystal, as listed in Alexandria via LeMat-Bulk.

a b c (Å): 3.998 3.998 5.616
angles (deg): 110.50 110.50 60.84
Sites, in units of the cell vectors:
Sn1 0.000 0.000 0.000
As1 0.173 0.173 0.532
H1 0.461 0.461 0.380
Os1 0.563 0.563 0.695

Crystal system: monoclinic

=====

Verdict on stability: run one comes out at the bottom.

=====

Run one
First-principles (PBE-GGA) data for a relaxed SnAsHOs crystal, as listed in Alexandria via LeMat-Bulk.

a b c (Å): 3.891 3.069 6.017
angles (deg): 90.00 106.35 90.00
Sites, in units of the cell vectors:
Sn1 0.000 0.000 0.000
As1 0.634 0.000 0.531
H1 0.278 0.000 0.596
Os1 0.583 0.500 0.203

Crystal system: monoclinic

=====

Run two
First-principles (PBE-GGA) data for a relaxed SnAsHOs crystal, as listed in Alexandria via LeMat-Bulk.

a b c (Å): 3.042 6.953 6.953
angles (deg): 25.70 90.00 90.00
Sites, in units of the cell vectors:
Sn1 0.000 0.000 0.000
As1 0.500 0.287 0.287
H1 0.500 0.614 0.614
Os1 0.000 0.683 0.683

Crystal system: orthorhombic

=====

Run three
First-principles (PBE-GGA) data for a relaxed SnAsHOs crystal, as listed in Alexandria via LeMat-Bulk.

a b c (Å): 3.168 3.564 5.663
angles (deg): 90.00 90.00 90.00
Sites, in units of the cell vectors:
Sn1 0.000 0.000 0.000
As1 0.000 0.500 0.393
H1 0.500 0.000 0.631
Os1 0.500 0.500 0.720

Crystal system: orthorhombic

=====

Run four
First-principles (PBE-GGA) data for a relaxed SnAsHOs crystal, as listed in Alexandria via LeMat-Bulk.

a b c (Å): 3.187 3.187 7.652
angles (deg): 103.67 103.67 73.45
Sites, in units of the cell vectors:
Sn1 0.000 0.000 0.000
As1 0.781 0.781 0.533
H1 0.084 0.084 0.238
Os1 0.508 0.508 0.749

Crystal system: monoclinic

=====

Verdict on stability: run one comes out at the bottom.

=====

Run one
First-principles (PBE-GGA) data for a relaxed SnAsHOs crystal, as listed in Alexandria via LeMat-Bulk.

a b c (Å): 4.331 4.331 6.149
angles (deg): 119.33 119.33 43.65
Sites, in units of the cell vectors:
Sn1 0.000 0.000 0.000
As1 0.779 0.779 0.478
H1 0.549 0.549 0.607
Os1 0.410 0.410 0.297

Crystal system: monoclinic

=====

Run two
First-principles (PBE-GGA) data for a relaxed SnAsHOs crystal, as listed in Alexandria via LeMat-Bulk.

a b c (Å): 4.628 4.628 6.361
angles (deg): 127.66 127.66 39.73
Sites, in units of the cell vectors:
Sn1 0.000 0.000 0.000
As1 0.965 0.965 0.463
H1 0.802 0.802 0.120
Os1 0.293 0.293 0.549

Crystal system: monoclinic

=====

Verdict on stability: run two comes out at the bottom.

=====

Run one
First-principles (PBE-GGA) data for a relaxed AsPH2 crystal, as listed in Alexandria via LeMat-Bulk.

a b c (Å): 5.177 5.177 5.177
angles (deg): 119.90 119.90 90.17
Sites, in units of the cell vectors:
As1 0.000 0.000 0.000
As2 0.750 0.250 0.500
P1 0.250 0.750 0.500
P2 0.500 0.500 0.000
H1 0.370 0.625 0.245
H2 0.375 0.620 0.745
H3 0.380 0.125 0.755
H4 0.875 0.630 0.255

Crystal system: tetragonal

=====

Run two
First-principles (PBE-GGA) data for a relaxed AsPH2 crystal, as listed in Alexandria via LeMat-Bulk.

a b c (Å): 3.818 3.818 4.433
angles (deg): 94.79 94.79 87.59
Sites, in units of the cell vectors:
As1 0.000 0.000 0.000
P1 0.570 0.570 0.990
H1 0.044 0.044 0.350
H2 0.530 0.530 0.666

Crystal system: monoclinic

=====

Run three
First-principles (PBE-GGA) data for a relaxed AsPH2 crystal, as listed in Alexandria via LeMat-Bulk.

a b c (Å): 7.223 7.223 7.223
angles (deg): 21.86 21.86 21.86
Sites, in units of the cell vectors:
As1 0.000 0.000 0.000
P1 0.500 0.500 0.500
H1 0.428 0.428 0.428
H2 0.572 0.572 0.572

Crystal system: trigonal

=====

Verdict on stability: run one comes out at the bottom.

=====

Run one
First-principles (PBE-GGA) data for a relaxed As2PH crystal, as listed in Alexandria via LeMat-Bulk.

a b c (Å): 4.337 4.337 4.337
angles (deg): 60.00 60.00 60.00
Sites, in units of the cell vectors:
As1 0.250 0.250 0.250
As2 0.750 0.750 0.750
P1 0.000 0.000 0.000
H1 0.500 0.500 0.500

Crystal system: cubic

=====

Run two
First-principles (PBE-GGA) data for a relaxed As2PH crystal, as listed in Alexandria via LeMat-Bulk.

a b c (Å): 6.941 6.941 6.941
angles (deg): 29.37 29.37 29.37
Sites, in units of the cell vectors:
As1 0.091 0.091 0.091
As2 0.909 0.909 0.909
P1 0.500 0.500 0.500
H1 0.000 0.000 0.000

Crystal system: trigonal

=====

Verdict on stability: run one comes out at the bottom.

=====

Run one
First-principles (PBE-GGA) data for a relaxed AsPH3 crystal, as listed in Alexandria via LeMat-Bulk.

a b c (Å): 3.542 3.542 3.542
angles (deg): 90.00 90.00 90.00
Sites, in units of the cell vectors:
As1 0.000 0.000 0.000
P1 0.500 0.500 0.500
H1 0.000 0.500 0.500
H2 0.500 0.000 0.500
H3 0.500 0.500 0.000

Crystal system: cubic

=====

Run two
First-principles (PBE-GGA) data for a relaxed AsPH3 crystal, as listed in Alexandria via LeMat-Bulk.

a b c (Å): 3.650 3.650 3.650
angles (deg): 90.00 90.00 90.00
Sites, in units of the cell vectors:
As1 0.000 0.000 0.000
P1 0.500 0.500 0.500
H1 0.000 0.000 0.500
H2 0.000 0.500 0.000
H3 0.500 0.000 0.000

Crystal system: cubic

=====

Run three
First-principles (PBE-GGA) data for a relaxed AsPH3 crystal, as listed in Alexandria via LeMat-Bulk.

a b c (Å): 5.454 5.757 5.783
angles (deg): 92.16 91.67 117.32
Sites, in units of the cell vectors:
As1 0.000 0.000 0.000
As2 0.026 0.039 0.426
P1 0.148 0.689 0.979
P2 0.479 0.348 0.455
H1 0.046 0.492 0.144
H2 0.080 0.535 0.765
H3 0.440 0.768 0.003
H4 0.563 0.549 0.293
H5 0.567 0.499 0.670
H6 0.693 0.269 0.432

Crystal system: triclinic

=====

Verdict on stability: run two comes out at the bottom.

=====

Run one
First-principles (PBE-GGA) data for a relaxed AsPHS2 crystal, as listed in Alexandria via LeMat-Bulk.

a b c (Å): 4.813 4.813 4.769
angles (deg): 90.00 90.00 90.00
Sites, in units of the cell vectors:
As1 0.000 0.000 0.000
P1 0.000 0.000 0.500
H1 0.500 0.500 0.500
S1 0.000 0.500 0.000
S2 0.500 0.000 0.000

Crystal system: tetragonal

=====

Run two
First-principles (PBE-GGA) data for a relaxed AsPHS2 crystal, as listed in Alexandria via LeMat-Bulk.

a b c (Å): 4.702 4.702 3.220
angles (deg): 90.00 90.00 90.00
Sites, in units of the cell vectors:
As1 0.000 0.000 0.000
P1 0.500 0.500 0.000
H1 0.500 0.500 0.500
S1 0.000 0.500 0.500
S2 0.500 0.000 0.500

Crystal system: tetragonal

=====

Verdict on stability: run one comes out at the bottom.

=====

Run one
First-principles (PBE-GGA) data for a relaxed AsPHSe2 crystal, as listed in Alexandria via LeMat-Bulk.

a b c (Å): 4.939 4.939 4.722
angles (deg): 90.00 90.00 90.00
Sites, in units of the cell vectors:
As1 0.000 0.000 0.000
P1 0.000 0.000 0.500
H1 0.500 0.500 0.000
Se1 0.000 0.500 0.500
Se2 0.500 0.000 0.500

Crystal system: tetragonal

=====

Run two
First-principles (PBE-GGA) data for a relaxed AsPHSe2 crystal, as listed in Alexandria via LeMat-Bulk.

a b c (Å): 4.837 4.837 3.467
angles (deg): 90.00 90.00 90.00
Sites, in units of the cell vectors:
As1 0.000 0.000 0.000
P1 0.500 0.500 0.000
H1 0.000 0.000 0.500
Se1 0.000 0.500 0.500
Se2 0.500 0.000 0.500

Crystal system: tetragonal

=====

Verdict on stability: run one comes out at the bottom.

=====

Run one
First-principles (PBE-GGA) data for a relaxed As3HPb crystal, as listed in Alexandria via LeMat-Bulk.

a b c (Å): 4.535 4.535 4.535
angles (deg): 90.00 90.00 90.00
Sites, in units of the cell vectors:
As1 0.000 0.000 0.500
As2 0.000 0.500 0.000
As3 0.500 0.000 0.000
H1 0.000 0.000 0.000
Pb1 0.500 0.500 0.500

Crystal system: cubic

=====

Run two
First-principles (PBE-GGA) data for a relaxed As3HPb crystal, as listed in Alexandria via LeMat-Bulk.

a b c (Å): 5.510 5.510 5.510
angles (deg): 90.00 90.00 90.00
Sites, in units of the cell vectors:
As1 0.000 0.000 0.500
As2 0.000 0.500 0.000
As3 0.500 0.000 0.000
H1 0.500 0.500 0.500
Pb1 0.000 0.000 0.000

Crystal system: cubic

=====

Verdict on stability: run two comes out at the bottom.